1.
The following is a DFT calculation (PBE) of a relaxed Cs3Bi2Se4 crystal.

Cell lengths 7.776, 10.222, 10.222 Å; angles 81.48, 89.51, 89.51 degrees
Positions (direct):
1 Cs 0.455 0.253 0.986
2 Cs 0.750 0.390 0.610
3 Cs 0.955 0.986 0.253
4 Cs 0.045 0.014 0.747
5 Cs 0.250 0.610 0.390
6 Cs 0.545 0.747 0.014
7 Bi 0.924 0.406 0.188
8 Bi 0.576 0.812 0.594
9 Bi 0.424 0.188 0.406
10 Bi 0.076 0.594 0.812
11 Se 0.914 0.753 0.563
12 Se 0.953 0.307 0.957
13 Se 0.086 0.247 0.437
14 Se 0.453 0.957 0.307
15 Se 0.586 0.437 0.247
16 Se 0.547 0.043 0.693
17 Se 0.414 0.563 0.753
18 Se 0.047 0.693 0.043

Mass density ... 4.681 Mg/m³
Uncorrected formation energy ... -749 meV/atom
D(E_F) ... 0.377 states/eV/atom

2.
The following is a DFT calculation (PBE) of a relaxed Cs2Bi3Se4 crystal.

Cell lengths 6.931, 6.931, 9.246 Å; angles 105.69, 105.69, 106.16 degrees
Positions (direct):
1 Cs 0.690 0.690 0.380
2 Cs 0.310 0.310 0.620
3 Se 0.074 0.681 0.755
4 Se 0.926 0.319 0.245
5 Se 0.319 0.926 0.245
6 Se 0.681 0.074 0.755
7 Bi 0.000 0.000 0.000
8 Bi 0.000 0.500 0.000
9 Bi 0.500 0.000 0.000

Mass density ... 5.268 Mg/m³
Uncorrected formation energy ... -543 meV/atom
D(E_F) ... 0.430 states/eV/atom

3.
The following is a DFT calculation (PBE) of a relaxed CsBiSe crystal.

Cell lengths 7.633, 5.216, 12.568 Å; angles 113.06, 97.01, 46.50 degrees
Positions (direct):
1 Se 0.180 0.766 0.663
2 Se 0.820 0.234 0.337
3 Cs 0.676 0.745 0.664
4 Cs 0.324 0.255 0.336
5 Bi 0.063 0.938 0.885
6 Bi 0.937 0.062 0.115

Mass density ... 4.291 Mg/m³
Distance to the lowest polymorph of the same formula ... 0.2552 eV per atom
Uncorrected formation energy ... -425 meV/atom

4.
The following is a DFT calculation (PBE) of a relaxed CsBiSe crystal.

Cell lengths 5.811, 4.652, 19.399 Å; angles 90.00, 101.68, 90.00 degrees
Positions (direct):
1 Cs 0.690 0.104 0.423
2 Cs 0.690 0.604 0.923
3 Cs 0.310 0.104 0.577
4 Cs 0.310 0.604 0.077
5 Bi 0.177 0.092 0.775
6 Bi 0.823 0.592 0.725
7 Bi 0.823 0.092 0.225
8 Bi 0.177 0.592 0.275
9 Se 0.176 0.603 0.411
10 Se 0.824 0.103 0.089
11 Se 0.176 0.103 0.911
12 Se 0.824 0.603 0.589

Mass density ... 5.444 Mg/m³
Distance to the lowest polymorph of the same formula ... 0.0066 eV per atom
Uncorrected formation energy ... -674 meV/atom
D(E_F) ... 0.029 states/eV/atom

5.
The following is a DFT calculation (PBE) of a relaxed CsSiBiSe4 crystal.

Cell lengths 6.855, 7.198, 9.882 Å; angles 90.00, 108.55, 90.00 degrees
Positions (direct):
1 Se 0.996 0.999 0.297
2 Se 0.004 0.499 0.703
3 Se 0.574 0.250 0.431
4 Se 0.996 0.501 0.297
5 Se 0.585 0.250 0.811
6 Se 0.004 0.001 0.703
7 Se 0.415 0.750 0.189
8 Se 0.426 0.750 0.569
9 Bi 0.769 0.750 0.461
10 Bi 0.231 0.250 0.539
11 Cs 0.734 0.750 0.937
12 Cs 0.266 0.250 0.063
13 Si 0.219 0.750 0.336
14 Si 0.781 0.250 0.664

Mass density ... 4.927 Mg/m³
Uncorrected formation energy ... -694 meV/atom
D(E_F) ... 0.000 states/eV/atom

6.
The following is a DFT calculation (PBE) of a relaxed Cs2SmBiSe4 crystal.

Cell lengths 9.214, 9.214, 9.116 Å; angles 119.65, 119.65, 90.01 degrees
Positions (direct):
1 Bi 0.000 0.000 0.000
2 Bi 0.500 0.500 0.500
3 Cs 0.500 0.000 0.500
4 Cs 0.500 0.500 0.000
5 Cs 0.000 0.000 0.500
6 Cs 0.500 0.000 0.000
7 Se 0.229 0.271 0.464
8 Se 0.773 0.309 0.541
9 Se 0.227 0.691 0.459
10 Se 0.191 0.727 0.959
11 Se 0.771 0.729 0.536
12 Se 0.229 0.271 0.036
13 Se 0.771 0.729 0.964
14 Se 0.809 0.273 0.041
15 Sm 0.000 0.500 0.500
16 Sm 0.000 0.500 0.000

Mass density ... 5.651 Mg/m³
Uncorrected formation energy ... -1190 meV/atom

7.
The following is a DFT calculation (PBE) of a relaxed Cs3SmBi2Se6 crystal.

Cell lengths 7.594, 7.594, 8.748 Å; angles 98.31, 98.31, 120.00 degrees
Positions (direct):
1 Se 0.937 0.606 0.810
2 Se 0.733 0.733 0.191
3 Se 0.606 0.937 0.810
4 Se 0.267 0.267 0.809
5 Se 0.063 0.394 0.190
6 Se 0.394 0.063 0.190
7 Sm 0.000 0.000 0.000
8 Cs 0.832 0.168 0.500
9 Cs 0.500 0.500 0.500
10 Cs 0.168 0.832 0.500
11 Bi 0.666 0.334 0.000
12 Bi 0.334 0.666 0.000

Mass density ... 5.721 Mg/m³
Uncorrected formation energy ... -1099 meV/atom
D(E_F) ... 0.000 states/eV/atom

8.
The following is a DFT calculation (PBE) of a relaxed Cs2SnBiSe4 crystal.

Cell lengths 7.004, 8.519, 13.182 Å; angles 83.73, 74.59, 65.73 degrees
Positions (direct):
1 Se 0.445 0.708 0.385
2 Se 0.903 0.792 0.885
3 Se 0.537 0.292 0.615
4 Se 0.847 0.708 0.615
5 Se 0.305 0.792 0.115
6 Se 0.213 0.208 0.885
7 Se 0.579 0.208 0.115
8 Se 0.171 0.292 0.385
9 Cs 0.182 0.000 0.637
10 Cs 0.932 0.500 0.137
11 Cs 0.568 0.500 0.863
12 Cs 0.818 0.000 0.363
13 Sn 0.500 0.000 0.000
14 Sn 0.250 0.500 0.500
15 Bi 0.750 0.500 0.500
16 Bi 0.000 0.000 0.000

Mass density ... 4.369 Mg/m³
Uncorrected formation energy ... -646 meV/atom
D(E_F) ... 0.677 states/eV/atom

9.
The following is a DFT calculation (PBE) of a relaxed CsSnBiSe4 crystal.

Cell lengths 7.149, 7.459, 10.066 Å; angles 90.00, 108.72, 90.00 degrees
Positions (direct):
1 Se 0.012 0.511 0.699
2 Se 0.525 0.250 0.414
3 Se 0.988 0.011 0.301
4 Se 0.552 0.250 0.818
5 Se 0.475 0.750 0.586
6 Se 0.448 0.750 0.182
7 Se 0.012 0.989 0.699
8 Se 0.988 0.489 0.301
9 Sn 0.236 0.750 0.339
10 Sn 0.764 0.250 0.661
11 Bi 0.215 0.250 0.535
12 Bi 0.785 0.750 0.465
13 Cs 0.259 0.250 0.056
14 Cs 0.741 0.750 0.944

Mass density ... 5.072 Mg/m³
Uncorrected formation energy ... -597 meV/atom

10.
The following is a DFT calculation (PBE) of a relaxed CsSr2BiSe4 crystal.

Cell lengths 9.076, 9.076, 9.003 Å; angles 119.74, 119.74, 89.57 degrees
Positions (direct):
1 Se 0.261 0.239 0.488
2 Se 0.739 0.761 0.512
3 Se 0.739 0.761 0.988
4 Se 0.288 0.764 0.526
5 Se 0.261 0.239 0.012
6 Se 0.736 0.212 0.974
7 Se 0.712 0.236 0.474
8 Se 0.264 0.788 0.026
9 Sr 0.500 0.000 0.000
10 Sr 0.500 0.000 0.500
11 Sr 0.500 0.500 0.000
12 Sr 0.000 0.000 0.500
13 Bi 0.000 0.000 0.000
14 Bi 0.500 0.500 0.500
15 Cs 0.000 0.500 0.000
16 Cs 0.000 0.500 0.500

Mass density ... 5.215 Mg/m³
Uncorrected formation energy ... -1257 meV/atom

11.
The following is a DFT calculation (PBE) of a relaxed Cs3SrBi2Se6 crystal.

Cell lengths 7.676, 7.676, 8.809 Å; angles 98.38, 98.38, 120.00 degrees
Positions (direct):
1 Se 0.415 0.065 0.194
2 Se 0.714 0.714 0.191
3 Se 0.935 0.585 0.806
4 Se 0.065 0.415 0.194
5 Se 0.286 0.286 0.809
6 Se 0.585 0.935 0.806
7 Bi 0.333 0.667 0.000
8 Bi 0.667 0.333 0.000
9 Cs 0.500 0.500 0.500
10 Cs 0.838 0.162 0.500
11 Cs 0.162 0.838 0.500
12 Sr 0.000 0.000 0.000

Mass density ... 5.323 Mg/m³
Uncorrected formation energy ... -964 meV/atom
D(E_F) ... 1.045 states/eV/atom

12.
The following is a DFT calculation (PBE) of a relaxed Cs2TaBiSe4 crystal.

Cell lengths 5.924, 8.703, 13.987 Å; angles 85.87, 77.77, 70.10 degrees
Positions (direct):
1 Se 0.359 0.800 0.117
2 Se 0.276 0.200 0.883
3 Se 0.524 0.200 0.117
4 Se 0.474 0.300 0.617
5 Se 0.909 0.700 0.617
6 Se 0.391 0.700 0.383
7 Se 0.226 0.300 0.383
8 Se 0.841 0.800 0.883
9 Cs 0.579 0.500 0.842
10 Cs 0.171 0.000 0.658
11 Cs 0.921 0.500 0.158
12 Cs 0.829 0.000 0.342
13 Bi 0.000 0.000 0.000
14 Bi 0.750 0.500 0.500
15 Ta 0.500 0.000 0.000
16 Ta 0.250 0.500 0.500

Mass density ... 4.868 Mg/m³
Uncorrected formation energy ... -666 meV/atom
D(E_F) ... 0.447 states/eV/atom